1.
# Pm3Hg5H12 GGA-PBE optimized geometry
# space-group type	Ia-3d (230)
# E_tot	-2.80	eV per atom
data_Pm3Hg5H12
_chemical_formula_sum 'Pm12 Hg20 H48'
_cell_length_a 11.3234
_cell_length_b 11.3234
_cell_length_c 11.3234
_cell_angle_alpha 109.47
_cell_angle_beta 109.47
_cell_angle_gamma 109.47
_space_group_name_H-M_alt 'P 1'
_space_group_IT_number 1
loop_
_space_group_symop_operation_xyz
'x,y,z'
loop_
_atom_site_label
_atom_site_fract_x
_atom_site_fract_y
_atom_site_fract_z
Pm1 0.7500 0.3750 0.1250
Pm2 0.8750 0.7500 0.1250
Pm3 0.3750 0.7500 0.6250
Pm4 0.2500 0.1250 0.3750
Pm5 0.8750 0.1250 0.2500
Pm6 0.3750 0.6250 0.2500
Pm7 0.6250 0.3750 0.7500
Pm8 0.1250 0.8750 0.7500
Pm9 0.7500 0.8750 0.6250
Pm10 0.6250 0.2500 0.3750
Pm11 0.1250 0.2500 0.8750
Pm12 0.2500 0.6250 0.8750
Hg1 0.1250 0.3750 0.2500
Hg2 0.0000 0.5000 0.0000
Hg3 0.0000 0.0000 0.0000
Hg4 0.3750 0.2500 0.1250
Hg5 0.5000 0.0000 0.5000
Hg6 0.5000 0.5000 0.0000
Hg7 0.1250 0.7500 0.3750
Hg8 0.7500 0.1250 0.8750
Hg9 0.7500 0.6250 0.3750
Hg10 0.3750 0.1250 0.7500
Hg11 0.6250 0.8750 0.2500
Hg12 0.5000 0.5000 0.5000
Hg13 0.5000 0.0000 0.0000
Hg14 0.0000 0.0000 0.5000
Hg15 0.2500 0.3750 0.6250
Hg16 0.2500 0.8750 0.1250
Hg17 0.0000 0.5000 0.5000
Hg18 0.8750 0.2500 0.6250
Hg19 0.6250 0.7500 0.8750
Hg20 0.8750 0.6250 0.7500
H1 0.7555 0.1553 0.0537
H2 0.2982 0.5537 0.3984
H3 0.9463 0.3447 0.2445
H4 0.5537 0.2555 0.1553
H5 0.6002 0.7555 0.7018
H6 0.9463 0.6016 0.2018
H7 0.2982 0.7445 0.3998
H8 0.1016 0.8998 0.1553
H9 0.6016 0.9463 0.7018
H10 0.7555 0.6002 0.2018
H11 0.7445 0.4463 0.3447
H12 0.7982 0.8984 0.0537
H13 0.1553 0.7555 0.5537
H14 0.3447 0.3984 0.1002
H15 0.1002 0.8984 0.3447
H16 0.3998 0.1553 0.6016
H17 0.1002 0.2018 0.2555
H18 0.4463 0.7018 0.1016
H19 0.7982 0.8998 0.2445
H20 0.1553 0.3998 0.1016
H21 0.3447 0.9463 0.7445
H22 0.6016 0.6553 0.3998
H23 0.8984 0.7982 0.5537
H24 0.7445 0.2982 0.8998
H25 0.3984 0.3447 0.6002
H26 0.1016 0.2018 0.4463
H27 0.2555 0.7018 0.1002
H28 0.2018 0.1002 0.7555
H29 0.6553 0.0537 0.2555
H30 0.8447 0.6002 0.8984
H31 0.5537 0.2982 0.8984
H32 0.6002 0.8447 0.3984
H33 0.8998 0.7982 0.7445
H34 0.8998 0.1016 0.6553
H35 0.8447 0.2445 0.4463
H36 0.2018 0.1016 0.9463
H37 0.6553 0.6016 0.8998
H38 0.3984 0.0537 0.2982
H39 0.2445 0.3998 0.7982
H40 0.2555 0.5537 0.6553
H41 0.8984 0.1002 0.8447
H42 0.7018 0.2555 0.6002
H43 0.4463 0.7445 0.8447
H44 0.0537 0.3984 0.7982
H45 0.3998 0.2445 0.2982
H46 0.0537 0.6553 0.7555
H47 0.7018 0.4463 0.6016
H48 0.2445 0.8447 0.9463

2.
# Pm2HgH GGA-PBE optimized geometry
# polymorph energy (0 for the lowest one)	7.78	kcal/mol of atoms
# space-group type	P4/mmm (123)
data_Pm2HgH
_chemical_formula_sum 'Pm2 Hg1 H1'
_cell_length_a 3.4090
_cell_length_b 3.4090
_cell_length_c 7.6463
_cell_angle_alpha 90.00
_cell_angle_beta 90.00
_cell_angle_gamma 90.00
_space_group_name_H-M_alt 'P 1'
_space_group_IT_number 1
loop_
_space_group_symop_operation_xyz
'x,y,z'
loop_
_atom_site_label
_atom_site_fract_x
_atom_site_fract_y
_atom_site_fract_z
H1 0.5000 0.5000 0.0000
Hg1 0.5000 0.5000 0.5000
Pm1 0.0000 0.0000 0.7850
Pm2 0.0000 0.0000 0.2150

3.
# Pm6Hg2H GGA-PBE optimized geometry
# space-group type	P2_1/c (14)
# E_tot	-3.85	eV per atom
data_Pm6Hg2H
_chemical_formula_sum 'Pm12 Hg4 H2'
_cell_length_a 6.6377
_cell_length_b 6.9199
_cell_length_c 11.0390
_cell_angle_alpha 90.00
_cell_angle_beta 87.29
_cell_angle_gamma 90.00
_space_group_name_H-M_alt 'P 1'
_space_group_IT_number 1
loop_
_space_group_symop_operation_xyz
'x,y,z'
loop_
_atom_site_label
_atom_site_fract_x
_atom_site_fract_y
_atom_site_fract_z
Pm1 0.8718 0.0079 0.2574
Pm2 0.8262 0.6886 0.5313
Pm3 0.8426 0.6880 0.9623
Pm4 0.6574 0.1880 0.5377
Pm5 0.6738 0.1886 0.9687
Pm6 0.6282 0.5079 0.2426
Pm7 0.1282 0.9921 0.7426
Pm8 0.1738 0.3114 0.4687
Pm9 0.1574 0.3120 0.0377
Pm10 0.3426 0.8120 0.4623
Pm11 0.3262 0.8114 0.0313
Pm12 0.3718 0.4921 0.7574
Hg1 0.8979 0.3919 0.7442
Hg2 0.6021 0.8919 0.7558
Hg3 0.3979 0.1081 0.2442
Hg4 0.1021 0.6081 0.2558
H1 0.5000 0.5000 0.0000
H2 0.0000 0.0000 0.5000